(1)
# KHgAs2Br

A crystal of KHgAs2Br relaxed with PBEsol (SCAN, the Alexandria database).

Cell: 6.8532 6.8532 5.8822 Å, 90.00 90.00 90.00°
Closest atoms and distances in Å follow each position.
Space group P4/mmm (No. 123)
Unique sites:
1 K 0.0000 0.0000 0.0000 (multiplicity 1)  2 Br 2.94
2 Hg 0.5000 0.5000 0.5000 (multiplicity 1)  8 As 4.52, 4 Br 4.85
3 As 0.0000 0.5000 0.0000 (multiplicity 2)  2 K 3.43
4 Br 0.0000 0.0000 0.5000 (multiplicity 1)  2 K 2.94

The energy relative to the elements, uncorrected is 0.64 eV/atom. For the total energy, the calculation gives -133.14 eV for the cell shown.



(2)
# FeMo2Cl

A crystal of FeMo2Cl relaxed with PBEsol (SCAN, the Alexandria database).

Cell: 3.0953 3.0006 6.8610 Å, 90.00 90.01 90.00°
Closest atoms and distances in Å follow each position.
Space group Pm (No. 6)
Unique sites:
1 Fe 0.0000 0.0000 0.0000 (multiplicity 1)  2 Cl 2.44, 4 Mo 2.57
2 Mo 0.0012 0.0000 0.5813 (multiplicity 1)  2 Cl 2.55, 4 Mo 2.61
3 Mo 0.4993 0.5000 0.7961 (multiplicity 1)  4 Fe 2.57, 4 Mo 2.61
4 Cl 0.0073 0.5000 0.2801 (multiplicity 1)  2 Fe 2.44, 2 Mo 2.55

The energy relative to the elements, uncorrected is 0.25 eV/atom. For the total energy, the calculation gives -94.86 eV for the cell shown.



(3)
# LaY2AgSe

A crystal of LaY2AgSe relaxed with PBEsol (SCAN, the Alexandria database).

Cell: 5.2584 5.2584 5.5835 Å, 90.00 90.00 90.00°
Closest atoms and distances in Å follow each position.
Space group P4/mmm (No. 123)
Unique sites:
1 La 0.0000 0.0000 0.0000 (multiplicity 1)  2 Se 2.79
2 Y 0.0000 0.5000 0.5000 (multiplicity 2)  2 Se 2.63
3 Ag 0.5000 0.5000 0.0000 (multiplicity 1)  4 La 3.72, 8 Y 3.83
4 Se 0.0000 0.0000 0.5000 (multiplicity 1)  4 Y 2.63, 2 La 2.79

The energy relative to the elements, uncorrected is -0.48 eV/atom. For the total energy, the calculation gives -152.62 eV for the cell shown.



(4)
# ReHg2Pb

A crystal of ReHg2Pb relaxed with PBEsol (SCAN, the Alexandria database).

Cell: 4.2109 4.2109 8.9817 Å, 90.00 90.00 90.00°
Closest atoms and distances in Å follow each position.
Space group I-4m2 (No. 119)
Unique sites:
1 Re 0.0000 0.0000 0.0000 (multiplicity 2)  8 Hg 2.98-3.08, 4 Pb 3.08
2 Hg 0.0000 0.0000 0.5000 (multiplicity 2)  4 Re 2.98, 4 Hg 3.08, 4 Pb 3.08
3 Hg 0.0000 0.5000 0.2500 (multiplicity 2)  4 Pb 2.98, 4 Hg 3.08, 4 Re 3.08
4 Pb 0.0000 0.5000 0.7500 (multiplicity 2)  8 Hg 2.98-3.08, 4 Re 3.08

For the total energy, the calculation gives -558.57 eV for the cell shown. The value obtained for the formation energy is 0.981 eV per atom.



(5)
# SrCu2Au

A crystal of SrCu2Au relaxed with PBEsol (SCAN, the Alexandria database).

Cell: 4.2820 4.2820 15.6596 Å, 90.00 90.00 120.00°
Closest atoms and distances in Å follow each position.
Space group R3m (No. 160, hexagonal axes)
Unique sites:
1 Sr 0.0000 0.0000 0.0000 (multiplicity 3)  4 Cu 3.04-3.30, 4 Au 3.10-3.26
2 Cu 0.0000 0.0000 0.4883 (multiplicity 3)  3 Cu 2.48, 3 Au 2.56
3 Cu 0.0000 0.0000 0.8061 (multiplicity 3)  3 Cu 2.48, 3 Au 2.64
4 Au 0.0000 0.0000 0.1981 (multiplicity 3)  6 Cu 2.56-2.64

For the total energy, the calculation gives -369.71 eV for the cell shown. The value obtained for the formation energy is -0.351 eV per atom.



(6)
# ZnSiP2

A crystal of ZnSiP2 relaxed with PBEsol (SCAN, the Alexandria database).

Cell: 5.3542 5.3542 10.4460 Å, 90.00 90.00 90.00°
Closest atoms and distances in Å follow each position.
Space group I-42d (No. 122)
Unique sites:
1 Zn 0.0000 0.0000 0.0000 (multiplicity 4)  4 P 2.35
2 Si 0.0000 0.0000 0.5000 (multiplicity 4)  4 P 2.25
3 P 0.2353 0.2500 0.6250 (multiplicity 8)  2 Si 2.25, 2 Zn 2.35

The energy relative to the elements, uncorrected is -0.39 eV/atom. For the total energy, the calculation gives -183.52 eV for the cell shown.



(7)
# LaTl2Au

A crystal of LaTl2Au relaxed with PBEsol (SCAN, the Alexandria database).

Cell: 3.8060 4.3985 6.6240 Å, 90.00 106.40 90.00°
Closest atoms and distances in Å follow each position.
Space group Pm (No. 6)
Unique sites:
1 La 0.0000 0.0000 0.0000 (multiplicity 1)  4 Au 3.10, 1 Tl 3.38
2 Tl 0.2662 0.0000 0.5322 (multiplicity 1)  2 Au 2.91, 4 Tl 3.17-3.18
3 Tl 0.6660 0.5000 0.3311 (multiplicity 1)  1 Au 3.17, 4 Tl 3.17-3.18
4 Au 0.4182 0.5000 0.8326 (multiplicity 1)  3 Tl 2.91-3.17, 4 La 3.10

For the total energy, the calculation gives -258.96 eV for the cell shown. The value obtained for the formation energy is -0.495 eV per atom.



(8)
# Li3SbP2O8

A crystal of Li3SbP2O8 relaxed with PBEsol (SCAN, the Alexandria database).

Cell: 4.6639 6.7426 10.1529 Å, 90.00 95.25 90.00°
Closest atoms and distances in Å follow each position.
Space group P2_1/m (No. 11)
Unique sites:
1 Li 0.0000 0.0000 0.0000 (multiplicity 2)  4 O 2.01-2.22
2 Li 0.0138 0.2500 0.2617 (multiplicity 2)  2 O 1.94-2.12
3 Li 0.5000 0.0000 0.5000 (multiplicity 2)  6 O 2.17-2.22
4 Sb 0.4499 0.7500 0.2181 (multiplicity 2)  5 O 2.14-2.34
5 P 0.0968 0.2500 0.5756 (multiplicity 2)  4 O 1.52-1.59
6 P 0.4210 0.2500 0.0830 (multiplicity 2)  4 O 1.52-1.60
7 O 0.2082 0.2500 0.4391 (multiplicity 2)  1 P 1.52
8 O 0.2327 0.7500 0.4290 (multiplicity 2)  1 P 1.53
9 O 0.2395 0.0706 0.6596 (multiplicity 4)  1 P 1.59
10 O 0.2531 0.7500 0.9192 (multiplicity 2)  1 P 1.52
11 O 0.2651 0.2500 0.9360 (multiplicity 2)  1 P 1.60
12 O 0.2967 0.0671 0.1497 (multiplicity 4)  1 P 1.55

The energy relative to the elements, uncorrected is -2.33 eV/atom. For the total energy, the calculation gives -295.32 eV for the cell shown.



(9)
# LaInNi

A crystal of LaInNi relaxed with PBEsol (SCAN, the Alexandria database).

Cell: 7.3909 7.3909 4.0816 Å, 90.00 90.00 120.00°
Closest atoms and distances in Å follow each position.
Space group P-62m (No. 189)
Unique sites:
1 La 0.0000 0.4168 0.0000 (multiplicity 3)  5 Ni 3.02-3.08, 6 In 3.25-3.37
2 In 0.0000 0.7582 0.5000 (multiplicity 3)  4 Ni 2.71-2.86
3 Ni 0.0000 0.0000 0.0000 (multiplicity 1)  6 In 2.71
4 Ni 0.3333 0.6667 0.5000 (multiplicity 2)  3 In 2.86, 6 La 3.02

For the total energy, the calculation gives -282.68 eV for the cell shown. The value obtained for the formation energy is -0.521 eV per atom.



(10)
# MgAg2

A crystal of MgAg2 relaxed with PBEsol (SCAN, the Alexandria database).

Cell: 4.5405 4.5405 2.9028 Å, 90.00 90.00 120.00°
Closest atoms and distances in Å follow each position.
Space group P-3m1 (No. 164)
Unique sites:
1 Mg 0.0000 0.0000 0.0000 (multiplicity 1)  6 Ag 2.79, 2 Mg 2.90
2 Ag 0.3333 0.6667 0.3269 (multiplicity 2)  3 Mg 2.79, 5 Ag 2.81-2.90

For the total energy, the calculation gives -68.12 eV for the cell shown. The value obtained for the formation energy is -0.139 eV per atom.



(11)
# Li2TlMo

A crystal of Li2TlMo relaxed with PBEsol (SCAN, the Alexandria database).

Cell: 3.6109 4.4302 8.3511 Å, 90.00 90.00 90.00°
Closest atoms and distances in Å follow each position.
Space group Imm2 (No. 44)
Unique sites:
1 Li 0.0000 0.0000 0.0000 (multiplicity 2)  2 Li 2.63, 2 Tl 2.75, 4 Mo 2.86
2 Li 0.0000 0.5000 0.2717 (multiplicity 2)  2 Li 2.63, 2 Mo 2.78, 4 Tl 2.86
3 Tl 0.0000 0.5000 0.7478 (multiplicity 2)  8 Li 2.75-3.06, 4 Mo 2.89-2.93
4 Mo 0.0000 0.0000 0.5184 (multiplicity 2)  8 Li 2.78-3.02, 4 Tl 2.89-2.93

For the total energy, the calculation gives -220.85 eV for the cell shown. The value obtained for the formation energy is 0.400 eV per atom.



(12)
# Al2GaH2

A crystal of Al2GaH2 relaxed with PBEsol (SCAN, the Alexandria database).

Cell: 3.1409 3.1409 11.3497 Å, 90.00 90.00 90.00°
Closest atoms and distances in Å follow each position.
Space group I4/mmm (No. 139)
Unique sites:
1 Al 0.0000 0.0000 0.1467 (multiplicity 4)  4 H 1.96
2 Ga 0.0000 0.0000 0.5000 (multiplicity 2)  8 Al 2.78
3 H 0.0000 0.5000 0.2500 (multiplicity 4)  4 Al 1.96

For the total energy, the calculation gives -75.57 eV for the cell shown.